No. 1
Here is a relaxed structure of SrLiEuNi from the Alexandria database. Energies are from GGA-PBE.

It has space group F-43m (No. 216), with a = 7.476 Å, b = 7.476 Å, c = 7.476 Å, α = 90.00°, β = 90.00° and γ = 90.00°. Symmetry generates all atoms from Sr at (0.000, 0.000, 0.000), Li at (0.250, 0.250, 0.750), Eu at (0.000, 0.000, 0.500) and Ni at (0.250, 0.250, 0.250).

The value obtained for the energy of formation is 8.4 kJ per mole of atoms.

No. 2
Here is a relaxed structure of MnTl3Sn2Se6 from the Alexandria database. Energies are from GGA-PBE.

It has space group C2/m (No. 12), with a = 7.040 Å, b = 12.066 Å, c = 7.908 Å, α = 90.00°, β = 106.89° and γ = 90.00°. Symmetry generates all atoms from Mn at (0.000, 0.000, 0.000), Tl at (0.000, 0.178, 0.500), Tl at (0.000, 0.500, 0.500), Sn at (0.000, 0.335, 0.000), Se at (0.213, 0.150, 0.193) and Se at (0.236, 0.000, 0.794).

Its raw formation energy is -0.411 eV/atom.

No. 3
Here is a relaxed structure of Rb2Tl6CdIn2 from the Alexandria database. Energies are from GGA-PBE.

It has space group R-3m (No. 166, hexagonal axes), with a = 8.2652 Å, b = 8.2652 Å, c = 22.6838 Å, α = 90.00°, β = 90.00° and γ = 120.00°. Symmetry generates all atoms from Rb at (0.0000, 0.0000, 0.2276), Tl at (0.0708, 0.5354, 0.2890), Cd at (0.0000, 0.0000, 0.5000) and In at (0.0000, 0.0000, 0.0693).

The value obtained for the energy of formation is 4.8 kJ per mole of atoms.

No. 4
Here is a relaxed structure of Li2Ho3Cd5 from the Alexandria database. Energies are from GGA-PBE.

It has space group P4/mbm (No. 127), with a = 10.414 Å, b = 10.414 Å, c = 4.162 Å, α = 90.00°, β = 90.00° and γ = 90.00°. Symmetry generates all atoms from Li at (0.115, 0.385, 0.000), Ho at (0.000, 0.000, 0.000), Ho at (0.179, 0.679, 0.000), Cd at (0.000, 0.500, 0.500) and Cd at (0.062, 0.216, 0.500).

The value obtained for the energy of formation is -24.7 kJ per mole of atoms.

No. 5
Here is a relaxed structure of LiCe4Ir4 from the Alexandria database. Energies are from GGA-PBE.

It has space group I4/m (No. 87), with a = 8.748 Å, b = 8.748 Å, c = 5.450 Å, α = 90.00°, β = 90.00° and γ = 90.00°. Symmetry generates all atoms from Li at (0.000, 0.000, 0.000), Ce at (0.087, 0.699, 0.500) and Ir at (0.091, 0.728, 0.000).

The value obtained for the energy of formation is -52.0 kJ per mole of atoms.

No. 6
Here is a relaxed structure of Hg3RhCl2F6 from the Alexandria database. Energies are from GGA-PBE.

It has space group C2/m (No. 12), with a = 12.879 Å, b = 6.619 Å, c = 5.403 Å, α = 90.00°, β = 92.32° and γ = 90.00°. Symmetry generates all atoms from Hg at (0.000, 0.000, 0.000), Hg at (0.250, 0.250, 0.500), Rh at (0.000, 0.500, 0.500), Cl at (0.181, 0.000, 0.896), F at (0.070, 0.284, 0.310) and F at (0.130, 0.500, 0.709).

Its raw formation energy is -1.154 eV/atom.

No. 7
Here is a relaxed structure of Zn5Re from the Alexandria database. Energies are from GGA-PBE.

It has space group F-43m (No. 216), with a = 7.006 Å, b = 7.006 Å, c = 7.006 Å, α = 90.00°, β = 90.00° and γ = 90.00°. Symmetry generates all atoms from Zn at (0.000, 0.000, 0.000), Zn at (0.124, 0.124, 0.624) and Re at (0.250, 0.250, 0.250).

The value obtained for the energy of formation is 33.1 kJ per mole of atoms.

No. 8
Here is a relaxed structure of CaEu2Gd from the Alexandria database. Energies are from GGA-PBE.

It has space group P4/mmm (No. 123), with a = 6.062 Å, b = 6.062 Å, c = 4.190 Å, α = 90.00°, β = 90.00° and γ = 90.00°. Symmetry generates all atoms from Ca at (0.000, 0.000, 0.000), Eu at (0.000, 0.500, 0.500) and Gd at (0.500, 0.500, 0.000).

The value obtained for the energy of formation is 8.6 kJ per mole of atoms.

No. 9
Here is a relaxed structure of Al2Te3 from the Alexandria database. Energies are from GGA-PBE.

It has space group R3 (No. 146, hexagonal axes), with a = 7.3244 Å, b = 7.3244 Å, c = 21.2095 Å, α = 90.00°, β = 90.00° and γ = 120.00°. Symmetry generates all atoms from Al at (0.0000, 0.0000, 0.0000), Al at (0.0089, 0.6745, 0.1329), Te at (0.0000, 0.0000, 0.1906), Te at (0.0000, 0.0000, 0.5258), Te at (0.0000, 0.0000, 0.8574) and Te at (0.0218, 0.6830, 0.3468).

Its raw formation energy is -0.376 eV/atom.

No. 10
Here is a relaxed structure of YTl2I from the Alexandria database. Energies are from GGA-PBE.

It has space group I-42d (No. 122), with a = 9.616 Å, b = 9.616 Å, c = 6.142 Å, α = 90.00°, β = 90.00° and γ = 90.00°. Symmetry generates all atoms from Y at (0.000, 0.000, 0.000), Tl at (0.201, 0.250, 0.125) and I at (0.000, 0.000, 0.500).

Its raw formation energy is -0.068 eV/atom.

No. 11
Here is a relaxed structure of Hf2AgS2 from the Alexandria database. Energies are from GGA-PBE.

It has space group P4/mbm (No. 127), with a = 7.388 Å, b = 7.388 Å, c = 3.272 Å, α = 90.00°, β = 90.00° and γ = 90.00°. Symmetry generates all atoms from Hf at (0.148, 0.352, 0.000), Ag at (0.000, 0.000, 0.000) and S at (0.139, 0.639, 0.500).

Its raw formation energy is -0.721 eV/atom.

No. 12
Here is a relaxed structure of LiCaPuIr from the Alexandria database. Energies are from GGA-PBE.

It has space group F-43m (No. 216), with a = 6.980 Å, b = 6.980 Å, c = 6.980 Å, α = 90.00°, β = 90.00° and γ = 90.00°. Symmetry generates all atoms from Li at (0.000, 0.000, 0.000), Ca at (0.250, 0.250, 0.250), Pu at (0.250, 0.250, 0.750) and Ir at (0.000, 0.000, 0.500).

The value obtained for the energy of formation is -17.4 kJ per mole of atoms.

No. 13
Here is a relaxed structure of ZnGa2Te from the Alexandria database. Energies are from GGA-PBE.

It has space group R-3m (No. 166, hexagonal axes), with a = 3.9733 Å, b = 3.9733 Å, c = 25.2315 Å, α = 90.00°, β = 90.00° and γ = 120.00°. Symmetry generates all atoms from Zn at (0.0000, 0.0000, 0.0000), Ga at (0.0000, 0.0000, 0.0983) and Te at (0.0000, 0.0000, 0.5000).

Its raw formation energy is 0.177 eV/atom.

No. 14
Here is a relaxed structure of Tl5Cd2Bi2 from the Alexandria database. Energies are from GGA-PBE.

It has space group Ima2 (No. 46), with a = 21.819 Å, b = 10.119 Å, c = 5.042 Å, α = 90.00°, β = 90.00° and γ = 90.00°. Symmetry generates all atoms from Tl at (0.120, 0.133, 0.000), Tl at (0.149, 0.616, 0.000), Tl at (0.250, 0.603, 0.500), Cd at (0.040, 0.665, 0.502), Bi at (0.000, 0.000, 0.502) and Bi at (0.250, 0.148, 0.501).

The value obtained for the energy of formation is 2.4 kJ per mole of atoms.

No. 15
Here is a relaxed structure of BaCuAg3 from the Alexandria database. Energies are from GGA-PBE.

It has space group Pm-3m (No. 221), with a = 5.056 Å, b = 5.056 Å, c = 5.056 Å, α = 90.00°, β = 90.00° and γ = 90.00°. Symmetry generates all atoms from Ba at (0.000, 0.000, 0.000), Cu at (0.500, 0.500, 0.500) and Ag at (0.000, 0.500, 0.500).

The value obtained for the energy of formation is 2.1 kJ per mole of atoms.

No. 16
Here is a relaxed structure of Ho3Tl3In from the Alexandria database. Energies are from GGA-PBE.

It has space group P6_3/m (No. 176), with a = 9.0492 Å, b = 9.0492 Å, c = 5.3921 Å, α = 90.00°, β = 90.00° and γ = 120.00°. Symmetry generates all atoms from Ho at (0.1009, 0.6465, 0.2500), Tl at (0.0516, 0.8055, 0.7500) and In at (0.3333, 0.6667, 0.7500).

The value obtained for the energy of formation is -23.7 kJ per mole of atoms.

No. 17
Here is a relaxed structure of IrOsRu4 from the Alexandria database. Energies are from GGA-PBE.

It has space group F-43m (No. 216), with a = 7.080 Å, b = 7.080 Å, c = 7.080 Å, α = 90.00°, β = 90.00° and γ = 90.00°. Symmetry generates all atoms from Ir at (0.000, 0.000, 0.000), Os at (0.250, 0.250, 0.250) and Ru at (0.125, 0.125, 0.625).

The value obtained for the energy of formation is 65.9 kJ per mole of atoms.

No. 18
Here is a relaxed structure of PaBePd2 from the Alexandria database. Energies are from GGA-PBE.

It has space group R-3m (No. 166, hexagonal axes), with a = 4.0677 Å, b = 4.0677 Å, c = 14.6670 Å, α = 90.00°, β = 90.00° and γ = 120.00°. Symmetry generates all atoms from Pa at (0.0000, 0.0000, 0.0000), Be at (0.0000, 0.0000, 0.5000) and Pd at (0.0000, 0.0000, 0.2184).

The value obtained for the energy of formation is -43.6 kJ per mole of atoms.

No. 19
Here is a relaxed structure of ScBiO2 from the Alexandria database. Energies are from GGA-PBE.

It has space group R-3m (No. 166, hexagonal axes), with a = 3.2871 Å, b = 3.2871 Å, c = 20.4279 Å, α = 90.00°, β = 90.00° and γ = 120.00°. Symmetry generates all atoms from Sc at (0.0000, 0.0000, 0.0000), Bi at (0.0000, 0.0000, 0.5000) and O at (0.0000, 0.0000, 0.3831).

Its raw formation energy is -2.358 eV/atom.

No. 20
Here is a relaxed structure of MnV2Cl8 from the Alexandria database. Energies are from GGA-PBE.

It has space group C2/m (No. 12), with a = 11.534 Å, b = 10.006 Å, c = 6.105 Å, α = 90.00°, β = 93.03° and γ = 90.00°. Symmetry generates all atoms from Mn at (0.000, 0.000, 0.000), V at (0.199, 0.000, 0.644), Cl at (0.100, 0.174, 0.781), Cl at (0.119, 0.500, 0.249) and Cl at (0.183, 0.000, 0.276).

Its raw formation energy is -1.098 eV/atom.

No. 21
Here is a relaxed structure of K2SrCr from the Alexandria database. Energies are from GGA-PBE.

It has space group Pm (No. 6), with a = 4.206 Å, b = 4.206 Å, c = 11.321 Å, α = 90.00°, β = 90.03° and γ = 90.00°. Symmetry generates all atoms from K at (0.000, 0.000, 0.000), K at (0.498, 0.500, 0.669), Sr at (0.498, 0.500, 0.304) and Cr at (0.998, 0.000, 0.460).

The value obtained for the energy of formation is 51.6 kJ per mole of atoms.

No. 22
Here is a relaxed structure of La6Y8Tl from the Alexandria database. Energies are from GGA-PBE.

It has space group P-3 (No. 147), with a = 9.6590 Å, b = 9.6590 Å, c = 6.4533 Å, α = 90.00°, β = 90.00° and γ = 120.00°. Symmetry generates all atoms from La at (0.0890, 0.4527, 0.3116), Y at (0.0410, 0.2591, 0.8082), Y at (0.3333, 0.6667, 0.8211) and Tl at (0.0000, 0.0000, 0.5000).

The value obtained for the energy of formation is 6.1 kJ per mole of atoms.

No. 23
Here is a relaxed structure of LaTaAs2 from the Alexandria database. Energies are from GGA-PBE.

It has space group F-43m (No. 216), with a = 6.979 Å, b = 6.979 Å, c = 6.979 Å, α = 90.00°, β = 90.00° and γ = 90.00°. Symmetry generates all atoms from La at (0.000, 0.000, 0.000), Ta at (0.250, 0.250, 0.750), As at (0.000, 0.000, 0.500) and As at (0.250, 0.250, 0.250).

The value obtained for the energy of formation is 22.2 kJ per mole of atoms.

No. 24
Here is a relaxed structure of TbAgGe from the Alexandria database. Energies are from GGA-PBE.

It has space group Fmmm (No. 69), with a = 5.595 Å, b = 14.582 Å, c = 14.809 Å, α = 90.00°, β = 90.00° and γ = 90.00°. Symmetry generates all atoms from Tb at (0.000, 0.144, 0.136), Ag at (0.000, 0.000, 0.406), Ag at (0.000, 0.185, 0.500) and Ge at (0.000, 0.158, 0.326).

The value obtained for the energy of formation is -18.4 kJ per mole of atoms.

Number 1: volume 26.1 Å³/atom. Number 2: volume 26.8 Å³/atom. Number 3: volume 40.7 Å³/atom. Number 4: volume 22.6 Å³/atom. Number 5: volume 23.2 Å³/atom. Number 6: volume 19.2 Å³/atom. Number 7: volume 14.3 Å³/atom. Number 8: volume 38.5 Å³/atom. Number 9: volume 32.8 Å³/atom. Number 10: volume 35.5 Å³/atom. Number 11: volume 17.9 Å³/atom. Number 12: volume 21.3 Å³/atom. Number 13: volume 28.7 Å³/atom. Number 14: volume 30.9 Å³/atom. Number 15: volume 25.8 Å³/atom. Number 16: volume 27.3 Å³/atom. Number 17: volume 14.8 Å³/atom. Number 18: volume 17.5 Å³/atom. Number 19: volume 15.9 Å³/atom. Number 20: volume 32.0 Å³/atom. Number 21: volume 50.1 Å³/atom. Number 22: volume 34.8 Å³/atom. Number 23: volume 21.2 Å³/atom. Number 24: volume 25.2 Å³/atom.